No. 1
PuU4Si2 | PBE | optimized geometry

## Properties
The total magnetization comes out at 15.41 Bohr magnetons per cell. The calculation puts the uncorrected formation energy at -163 meV per atom.

a b c (Å): 4.8417 4.8417 20.3265
angles (deg): 90.00 90.00 120.00
Space group R-3m (No. 166, hexagonal axes)
Unique sites:
Pu1 0.0000 0.0000 0.0000
U1 0.0000 0.0000 0.1252
U2 0.0000 0.0000 0.4392
Si1 0.0000 0.0000 0.2723


No. 2
Al2V5H2 | PBE | optimized geometry

## Properties
The total magnetization comes out at 0.00 Bohr magnetons per cell. The value obtained for the energy relative to the lowest polymorph listed for this composition is 20 meV per atom.

a b c (Å): 9.2709 3.2093 7.0132
angles (deg): 90.00 95.69 90.00
Space group C2/m (No. 12)
Unique sites:
Al1 0.0748 0.0000 0.2174
V1 0.0000 0.5000 0.5000
V2 0.1566 0.5000 0.9374
V3 0.2050 0.0000 0.6381
H1 0.1424 0.5000 0.6848


No. 3
RePtSeBr2 | PBE | optimized geometry

## Properties
The total magnetization comes out at 0.48 Bohr magnetons per cell. The calculation puts the uncorrected formation energy at 1053 meV per atom. The value obtained for the energy relative to the lowest polymorph listed for this composition is 0 meV per atom.

a b c (Å): 5.1044 5.1044 4.7164
angles (deg): 90.00 90.00 90.00
Space group P4/mmm (No. 123)
Unique sites:
Re1 0.0000 0.0000 0.0000
Pt1 0.5000 0.5000 0.5000
Se1 0.0000 0.0000 0.5000
Br1 0.0000 0.5000 0.0000


No. 4
BOs2RuI | PBE | optimized geometry

## Properties
The total magnetization comes out at 0.00 Bohr magnetons per cell. The calculation puts the uncorrected formation energy at 931 meV per atom.

a b c (Å): 4.2063 4.2063 4.2352
angles (deg): 90.00 90.00 90.00
Space group P4/mmm (No. 123)
Unique sites:
B1 0.0000 0.0000 0.0000
Os1 0.0000 0.5000 0.0000
Ru1 0.0000 0.0000 0.5000
I1 0.5000 0.5000 0.5000


No. 5
AlFeAs2 | PBE | optimized geometry

## Properties
The value obtained for the formation energy is 0.140 eV per atom. The total magnetization comes out at 1.65 Bohr magnetons per cell.

a b c (Å): 4.1706 3.3808 5.1754
angles (deg): 90.00 110.31 90.00
Space group P2/m (No. 10)
Unique sites:
Al1 0.0000 0.0000 0.0000
Fe1 0.5000 0.0000 0.5000
As1 0.2637 0.5000 0.7134


No. 6
PuSc2AgHg4 | PBE | optimized geometry

## Properties
The value obtained for the formation energy is -0.194 eV per atom. The total magnetization comes out at 19.32 Bohr magnetons per cell.

a b c (Å): 4.9550 4.9550 25.7307
angles (deg): 90.00 90.00 120.00
Space group R-3m (No. 166, hexagonal axes)
Unique sites:
Pu1 0.0000 0.0000 0.0000
Sc1 0.0000 0.0000 0.2442
Ag1 0.0000 0.0000 0.5000
Hg1 0.0000 0.0000 0.1263
Hg2 0.0000 0.0000 0.3827


| no. | total energy (eV per formula unit) |
| --- | --- |
| 1 | -71.5 |
| 2 | -61.5 |
| 3 | -20.1 |
| 4 | -35.3 |
| 5 | -20.9 |
| 6 | -32.6 |